No. 1
A plane-wave DFT calculation with GGA-PBE was carried out for a geometry-optimized YTa3In structure.

Output
ΔH_f (0 K)	2190	meV per atom
ΔE to the lowest computed polymorph	499	meV/atom
symmetry	No. 221

Cell: 4.9576 4.9576 4.9576 Å, 90.00 90.00 90.00°
With the nearest neighbours (Å) after each atom.
Element x y z (fractional)
Ta  0.0000  0.5000  0.0000  2 Y 2.48
Ta  0.5000  0.0000  0.0000  2 Y 2.48
Ta  0.0000  0.0000  0.5000  2 Y 2.48
Y  0.0000  0.0000  0.0000  6 Ta 2.48
In  0.5000  0.5000  0.5000  12 Ta 3.51

---

No. 2
A plane-wave DFT calculation with GGA-PBE was carried out for a geometry-optimized CsPmSnSe4 structure.

Output
uncorrected formation energy	-112	kJ/mol of atoms
symmetry	No. 11

Cell: 7.0815 7.3148 9.9938 Å, 90.00 108.20 90.00°
With the nearest neighbours (Å) after each atom.
Element x y z (fractional)
Se  0.9801  0.0140  0.3030  1 Sn 2.57
Se  0.5598  0.2500  0.8244  1 Sn 2.52
Se  0.9801  0.4860  0.3030  1 Sn 2.57
Se  0.4626  0.7500  0.5870  1 Sn 2.52
Se  0.5374  0.2500  0.4130  1 Sn 2.52
Se  0.4402  0.7500  0.1756  1 Sn 2.52
Se  0.0199  0.9860  0.6970  1 Sn 2.57
Se  0.0199  0.5140  0.6970  1 Sn 2.57
Cs  0.7499  0.7500  0.9427  2 Se 3.50-3.66
Cs  0.2501  0.2500  0.0573  2 Se 3.50-3.66
Sn  0.2302  0.7500  0.3376  4 Se 2.52-2.57
Sn  0.7698  0.2500  0.6624  4 Se 2.52-2.57
Pm  0.7794  0.7500  0.4507  6 Se 2.97-3.05
Pm  0.2206  0.2500  0.5493  6 Se 2.97-3.05

---

No. 3
A plane-wave DFT calculation with GGA-PBE was carried out for a geometry-optimized Al2AsPdN structure.

Output
uncorrected formation energy	108	kJ/mol of atoms
symmetry	No. 123

Cell: 4.6628 4.7382 4.6628 Å, 90.00 90.00 90.00°
With the nearest neighbours (Å) after each atom.
Element x y z (fractional)
Al  0.5000  0.0000  0.0000  2 Pd 2.33
Al  0.0000  0.0000  0.5000  2 Pd 2.33
N  0.5000  0.5000  0.5000  4 As 3.30, 8 Al 3.32
Pd  0.0000  0.0000  0.0000  4 Al 2.33, 2 As 2.37
As  0.0000  0.5000  0.0000  2 Pd 2.37

---

No. 4
A plane-wave DFT calculation with GGA-PBE was carried out for a geometry-optimized DyEr3Ni structure.

Output
ΔH_f (0 K)	-182	meV per atom
ΔE to the lowest computed polymorph	0	meV/atom
symmetry	No. 8

Cell: 6.3725 6.3725 12.6898 Å, 71.76 71.76 33.04°
With the nearest neighbours (Å) after each atom.
Element x y z (fractional)
Ni  0.4429  0.4429  0.7430  7 Er 2.71-2.89
Ni  0.7703  0.7703  0.1649  4 Dy 2.72-2.91, 3 Er 2.75-2.87
Dy  0.2285  0.2285  0.0226  2 Ni 2.72
Dy  0.0986  0.0986  0.3072  2 Ni 2.91
Er  0.8028  0.8028  0.3691  1 Ni 2.75
Er  0.1129  0.1129  0.6024  2 Ni 2.89
Er  0.7509  0.7509  0.7739  2 Ni 2.89
Er  0.4607  0.4607  0.1337  2 Ni 2.87
Er  0.9846  0.9846  0.8841  2 Ni 2.71
Er  0.4086  0.4086  0.5407  1 Ni 2.73

---

No. 5
A plane-wave DFT calculation with GGA-PBE was carried out for a geometry-optimized BeP2Cl structure.

Output
uncorrected formation energy	31	kJ/mol of atoms
ΔE to the lowest computed polymorph	707	meV/atom
symmetry	No. 123

Cell: 2.9342 2.9342 8.1099 Å, 90.00 90.00 89.98°
With the nearest neighbours (Å) after each atom.
Element x y z (fractional)
P  0.0000  0.0000  0.3900  1 P 2.27, 4 Be 2.36-2.37
P  0.0000  0.0000  0.1100  1 P 2.27, 4 Be 2.36-2.37
Cl  0.5000  0.5000  0.7500  4 Cl 2.93
Be  0.5000  0.5000  0.2500  8 P 2.36-2.37

---

No. 6
A plane-wave DFT calculation with GGA-PBE was carried out for a geometry-optimized Sr structure.

Output
ΔH_f (0 K)	142	meV per atom
ΔE to the lowest computed polymorph	142	meV/atom
symmetry	No. 140

Cell: 6.7390 6.7390 6.7390 Å, 106.37 106.37 115.88°
With the nearest neighbours (Å) after each atom.
Element x y z (fractional)
Sr  0.3290  0.1710  0.5000  7 Sr 3.91-4.24
Sr  0.8290  0.3290  0.1580  7 Sr 3.91-4.24
Sr  0.1710  0.6710  0.8420  7 Sr 3.91-4.24
Sr  0.6710  0.8290  0.5000  7 Sr 3.91-4.24

---

No. 7
A plane-wave DFT calculation with GGA-PBE was carried out for a geometry-optimized KBaRe2 structure.

Output
ΔH_f (0 K)	766	meV per atom
ΔE to the lowest computed polymorph	110	meV/atom
symmetry	No. 6

Cell: 3.7610 3.2612 10.8479 Å, 70.65 90.00 90.00°
With the nearest neighbours (Å) after each atom.
Element x y z (fractional)
Ba  0.0000  0.5595  0.4106  1 Re 3.16, 2 Ba 3.26
Re  0.5000  0.3385  0.1565  4 Re 2.55
Re  0.0000  0.8986  0.1022  4 Re 2.55
K  0.5000  0.7034  0.8306  2 K 3.26, 1 Re 3.34

---

No. 8
A plane-wave DFT calculation with GGA-PBE was carried out for a geometry-optimized Sr2RhAu structure.

Output
ΔH_f (0 K)	-135	meV per atom
symmetry	No. 216

Cell: 5.1529 5.1529 5.1529 Å, 60.00 60.00 60.00°
With the nearest neighbours (Å) after each atom.
Element x y z (fractional)
Sr  0.2500  0.2500  0.2500  4 Au 3.16, 4 Sr 3.16
Sr  0.0000  0.0000  0.0000  4 Rh 3.16, 4 Sr 3.16
Rh  0.7500  0.7500  0.7500  4 Au 3.16, 4 Sr 3.16
Au  0.5000  0.5000  0.5000  4 Rh 3.16, 4 Sr 3.16